# 1
# BaY2Zn

A geometry-optimized BaY2Zn structure (PBE-GGA, Alexandria via LeMat-Bulk).

Results
ΔH_f (0 K) (eV per atom): 0.2085
SG: P4/mmm

Lattice parameters (Å, degrees): 4.9602 4.9602 5.1672 90.00 90.00 90.00
With the nearest neighbours (Å) after each atom.
Fractional coordinates of all 4 atoms:
1 Ba 0.0000 0.0000 0.0000  4 Zn 3.51, 8 Y 3.58
2 Y 0.0000 0.5000 0.5000  4 Y 3.51, 4 Ba 3.58, 4 Zn 3.58
3 Y 0.5000 0.0000 0.5000  4 Y 3.51, 4 Ba 3.58, 4 Zn 3.58
4 Zn 0.5000 0.5000 0.0000  4 Ba 3.51, 8 Y 3.58

=====

# 2
# BaY2Zn

A geometry-optimized BaY2Zn structure (PBE-GGA, Alexandria via LeMat-Bulk).

Results
ΔH_f (0 K) (eV per atom): 0.2486
SG: F-43m

Lattice parameters (Å, degrees): 5.6727 5.6727 5.6727 60.00 60.00 60.00
With the nearest neighbours (Å) after each atom.
Fractional coordinates of all 4 atoms:
1 Ba 0.0000 0.0000 0.0000  4 Zn 3.47, 4 Y 3.47
2 Y 0.2500 0.2500 0.2500  4 Ba 3.47, 4 Y 3.47
3 Y 0.5000 0.5000 0.5000  4 Zn 3.47, 4 Y 3.47
4 Zn 0.7500 0.7500 0.7500  4 Y 3.47, 4 Ba 3.47

=====

# 3
# BaYZn

A geometry-optimized BaYZn structure (PBE-GGA, Alexandria via LeMat-Bulk).

Results
ΔH_f (0 K) (eV per atom): 0.1006
SG: P-6m2
Energy relative to the lowest polymorph listed for this composition (kJ/mol of formula units): 55

Lattice parameters (Å, degrees): 5.1968 5.1968 4.4539 90.00 90.00 120.00
With the nearest neighbours (Å) after each atom.
Fractional coordinates of all 3 atoms:
1 Ba 0.0000 0.0000 0.0000  6 Y 3.74, 6 Zn 3.74
2 Y 0.6667 0.3333 0.5000  3 Zn 3.00
3 Zn 0.3333 0.6667 0.5000  3 Y 3.00

=====

# 4
# BaYZn

A geometry-optimized BaYZn structure (PBE-GGA, Alexandria via LeMat-Bulk).

Results
ΔH_f (0 K) (eV per atom): -0.0908
SG: I4mm
Energy relative to the lowest polymorph listed for this composition (kJ/mol of formula units): 0

Lattice parameters (Å, degrees): 7.3508 7.3508 7.3508 149.74 149.74 43.33
With the nearest neighbours (Å) after each atom.
Fractional coordinates of all 3 atoms:
1 Ba 0.0000 0.0000 0.0000  4 Zn 3.60, 1 Y 3.69, 4 Ba 3.84
2 Y 0.2699 0.2699 0.0000  4 Zn 3.02
3 Zn 0.6733 0.6733 0.0000  4 Y 3.02

=====

# 5
# BaYZn3

A geometry-optimized BaYZn3 structure (PBE-GGA, Alexandria via LeMat-Bulk).

Results
ΔH_f (0 K) (eV per atom): 0.8245
SG: Pm-3m
Energy relative to the lowest polymorph listed for this composition (kJ/mol of formula units): 284

Lattice parameters (Å, degrees): 5.5497 5.5497 5.5497 90.00 90.00 90.00
With the nearest neighbours (Å) after each atom.
Fractional coordinates of all 5 atoms:
1 Ba 0.0000 0.0000 0.0000  6 Zn 2.77
2 Y 0.5000 0.5000 0.5000  12 Zn 3.92
3 Zn 0.0000 0.0000 0.5000  2 Ba 2.77
4 Zn 0.0000 0.5000 0.0000  2 Ba 2.77
5 Zn 0.5000 0.0000 0.0000  2 Ba 2.77

=====

# 6
# BaY2Zr

A geometry-optimized BaY2Zr structure (PBE-GGA, Alexandria via LeMat-Bulk).

Results
ΔH_f (0 K) (eV per atom): 0.2518
SG: R-3m
Energy relative to the lowest polymorph listed for this composition (kJ/mol of formula units): 23

Lattice parameters (Å, degrees): 12.1340 12.1340 12.1340 16.97 16.97 16.97
With the nearest neighbours (Å) after each atom.
Fractional coordinates of all 4 atoms:
1 Ba 0.0000 0.0000 0.0000  6 Ba 3.58, 6 Y 3.96
2 Y 0.2391 0.2391 0.2391  3 Zr 3.32, 6 Y 3.58
3 Y 0.7609 0.7609 0.7609  3 Zr 3.32, 6 Y 3.58
4 Zr 0.5000 0.5000 0.5000  6 Y 3.32, 6 Zr 3.58

=====

| no. | calculated total energy (eV/atom) | calculated density (Mg/m³) |
| --- | --- | --- |
| 1 | -3.82 | 5.0 |
| 2 | -3.78 | 4.9 |
| 3 | -3.12 | 4.6 |
| 4 | -3.31 | 4.8 |
| 5 | -1.62 | 4.1 |
| 6 | -5.60 | 5.1 |